Record 1
The following is a PBE calculation of a geometry-optimized Sr4Tl12Cd structure, from Alexandria via LeMat-Bulk.

Calculated values
Total moment, μB/cell: 0.000

```
Sr4Tl12Cd
1.0
-5.1160 5.1160 5.1160
5.1160 -5.1160 5.1160
5.1160 5.1160 -5.1160
Sr Tl Cd
4 12 1
Direct
0.0000 0.0000 0.5000
0.0000 0.5000 0.0000
0.5000 0.0000 0.0000
0.5000 0.5000 0.5000
0.0000 0.2961 0.2961
0.0000 0.7039 0.7039
0.2500 0.5000 0.7500
0.2500 0.7500 0.5000
0.2961 0.0000 0.2961
0.2961 0.2961 0.0000
0.5000 0.2500 0.7500
0.5000 0.7500 0.2500
0.7039 0.0000 0.7039
0.7039 0.7039 0.0000
0.7500 0.2500 0.5000
0.7500 0.5000 0.2500
0.0000 0.0000 0.0000
```

---

Record 2
The following is a PBE calculation of a geometry-optimized Sr2Tl2Cd structure, from Alexandria via LeMat-Bulk.

Calculated values
Total moment, μB/cell: 0.000

```
Sr2Tl2Cd
1.0
6.1939 -2.4854 0.0000
6.1939 2.4854 0.0000
-5.5198 0.0000 10.8774
Sr Tl Cd
4 4 2
Direct
0.0111 0.0111 0.3357
0.1839 0.1839 0.1068
0.8161 0.8161 0.8932
0.9889 0.9889 0.6643
0.3563 0.3563 0.4348
0.4688 0.4688 0.1154
0.5312 0.5312 0.8846
0.6437 0.6437 0.5652
0.2833 0.2833 0.6587
0.7167 0.7167 0.3413
```

---

no.,energy (Ha/atom)
1,-0.086
2,-0.079